! Fe2AsSO9 (PBE+U, optimized geometry); values from VASP
&SYSTEM
  ibrav = 0, nat = 13, ntyp = 4
/
ATOMIC_SPECIES
Fe 55.84 Fe.upf
As 74.92 As.upf
S 32.06 S.upf
O 16.00 O.upf
CELL_PARAMETERS angstrom
5.1885 0.0000 0.0000
0.2804 5.1922 0.0000
2.1586 2.0179 7.0656
ATOMIC_POSITIONS crystal
Fe 0.0000 0.0000 0.0000
Fe 0.4109 0.4080 0.5921
As 0.3588 0.0490 0.2958
S 0.6074 0.8021 0.7959
O 0.0761 0.0427 0.2217
O 0.1255 0.2866 0.7968
O 0.3369 0.7774 0.4853
O 0.3411 0.7707 0.9386
O 0.3591 0.3290 0.3739
O 0.6300 0.0825 0.1029
O 0.6392 0.0673 0.6533
O 0.6450 0.5773 0.7055
O 0.8321 0.7660 0.8865
! DOS at the Fermi energy: 0.50 states/eV per atom
! uncorrected energy: -6.125 eV/atom